Entry 1:
The following is a PBE calculation of crystalline LiScCd2 at its relaxed geometry, from Alexandria.

Output
Crystal system ... orthorhombic
Spin magnetization ... 0.0000 μB per atom
Final energy ... -0.2030 Ry/atom
Energy of formation ... -0.24 eV/atom

The structure in CIF format:
```
data_LiScCd2
_cell_length_a 3.328
_cell_length_b 5.035
_cell_length_c 5.035
_cell_angle_alpha 90.00
_cell_angle_beta 90.00
_cell_angle_gamma 90.00
_space_group_name_H-M_alt 'P m m 2'
_space_group_IT_number 25
_space_group_name_Hall 'P 2 -2'
loop_
_atom_site_label
_atom_site_fract_x
_atom_site_fract_y
_atom_site_fract_z
_atom_site_occupancy
Li1 0.000 0.000 0.000 1
Sc1 0.000 0.500 0.499 1
Cd1 0.500 0.000 0.500 1
Cd2 0.500 0.500 0.999 1
```

=====

Entry 2:
The following is a PBE calculation of crystalline Li4ScCd at its relaxed geometry, from Alexandria.

Output
Crystal system ... cubic
Spin magnetization ... 0.0000 μB per atom
Final energy ... -0.1841 Ry/atom
Energy of formation ... -0.02 eV/atom

The structure in CIF format:
```
data_Li4ScCd
_cell_length_a 7.586
_cell_length_b 7.586
_cell_length_c 7.586
_cell_angle_alpha 90.00
_cell_angle_beta 90.00
_cell_angle_gamma 90.00
_space_group_name_H-M_alt 'F -4 3 m'
_space_group_IT_number 216
_space_group_name_Hall 'F -4 2 3'
loop_
_atom_site_label
_atom_site_fract_x
_atom_site_fract_y
_atom_site_fract_z
_atom_site_occupancy
Li1 0.124 0.124 0.376 1
Sc1 0.000 0.000 0.000 1
Cd1 0.250 0.250 0.750 1
```

=====

Entry 3:
The following is a PBE calculation of crystalline LiSc2Cd at its relaxed geometry, from Alexandria.

Output
Crystal system ... monoclinic
Spin magnetization ... 0.0001 μB per atom
Final energy ... -0.2814 Ry/atom
Energy of formation ... 0.04 eV/atom

The structure in CIF format:
```
data_LiSc2Cd
_cell_length_a 5.625
_cell_length_b 3.249
_cell_length_c 10.293
_cell_angle_alpha 90.00
_cell_angle_beta 100.44
_cell_angle_gamma 90.00
_space_group_name_H-M_alt 'C 1 m 1'
_space_group_IT_number 8
_space_group_name_Hall 'C -2y'
loop_
_atom_site_label
_atom_site_fract_x
_atom_site_fract_y
_atom_site_fract_z
_atom_site_occupancy
Li1 0.000 0.000 0.000 1
Sc1 0.081 0.500 0.745 1
Sc2 0.251 0.500 0.255 1
Cd1 0.166 0.000 0.500 1
```

=====

Entry 4:
The following is a PBE calculation of crystalline LiScCd2 at its relaxed geometry, from Alexandria.

Output
Crystal system ... trigonal
Spin magnetization ... 0.0000 μB per atom
Final energy ... -0.1935 Ry/atom
Energy of formation ... -0.11 eV/atom

The structure in CIF format:
```
data_LiScCd2
_cell_length_a 3.2555
_cell_length_b 3.2555
_cell_length_c 28.5094
_cell_angle_alpha 90.00
_cell_angle_beta 90.00
_cell_angle_gamma 120.00
_space_group_name_H-M_alt 'R -3 m'
_space_group_IT_number 166
_space_group_name_Hall '-R 3 2"'
loop_
_atom_site_label
_atom_site_fract_x
_atom_site_fract_y
_atom_site_fract_z
_atom_site_occupancy
Li1 0.0000 0.0000 0.0000 1
Sc1 0.0000 0.0000 0.5000 1
Cd1 0.0000 0.0000 0.2536 1
```

=====

Entry 5:
The following is a PBE calculation of crystalline LiSc4Cd at its relaxed geometry, from Alexandria.

Output
Crystal system ... cubic
Spin magnetization ... 0.0000 μB per atom
Final energy ... -0.3242 Ry/atom
Energy of formation ... 0.28 eV/atom

The structure in CIF format:
```
data_LiSc4Cd
_cell_length_a 8.377
_cell_length_b 8.377
_cell_length_c 8.377
_cell_angle_alpha 90.00
_cell_angle_beta 90.00
_cell_angle_gamma 90.00
_space_group_name_H-M_alt 'F -4 3 m'
_space_group_IT_number 216
_space_group_name_Hall 'F -4 2 3'
loop_
_atom_site_label
_atom_site_fract_x
_atom_site_fract_y
_atom_site_fract_z
_atom_site_occupancy
Li1 0.000 0.000 0.000 1
Sc1 0.124 0.124 0.624 1
Cd1 0.250 0.250 0.250 1
```

=====

Entry 6:
The following is a PBE calculation of crystalline LiScCd at its relaxed geometry, from Alexandria.

Output
Crystal system ... trigonal
Spin magnetization ... 0.0021 μB per atom
Final energy ... -0.2330 Ry/atom
Energy of formation ... -0.12 eV/atom
Relative energy among the computed polymorphs ... 26 meV per atom

The structure in CIF format:
```
data_LiScCd
_cell_length_a 4.8414
_cell_length_b 4.8414
_cell_length_c 3.0296
_cell_angle_alpha 90.00
_cell_angle_beta 90.00
_cell_angle_gamma 120.00
_space_group_name_H-M_alt 'P 3 m 1'
_space_group_IT_number 156
_space_group_name_Hall 'P 3 -2"'
loop_
_atom_site_label
_atom_site_fract_x
_atom_site_fract_y
_atom_site_fract_z
_atom_site_occupancy
Li1 0.0000 0.0000 0.0000 1
Sc1 0.6667 0.3333 0.4965 1
Cd1 0.3333 0.6667 0.9951 1
```

=====

Entry 7:
The following is a PBE calculation of crystalline LiScCd at its relaxed geometry, from Alexandria.

Output
Crystal system ... trigonal
Spin magnetization ... 0.0000 μB per atom
Final energy ... -0.2233 Ry/atom
Energy of formation ... 0.02 eV/atom
Relative energy among the computed polymorphs ... 158 meV per atom

The structure in CIF format:
```
data_LiScCd
_cell_length_a 5.1048
_cell_length_b 5.1048
_cell_length_c 8.4292
_cell_angle_alpha 90.00
_cell_angle_beta 90.00
_cell_angle_gamma 120.00
_space_group_name_H-M_alt 'R 3 m'
_space_group_IT_number 160
_space_group_name_Hall 'R 3 -2"'
loop_
_atom_site_label
_atom_site_fract_x
_atom_site_fract_y
_atom_site_fract_z
_atom_site_occupancy
Li1 0.0000 0.0000 0.0000 1
Sc1 0.0000 0.0000 0.6481 1
Cd1 0.0000 0.0000 0.3008 1
```

=====

Entry 8:
The following is a PBE calculation of crystalline LiSc5Cd4 at its relaxed geometry, from Alexandria.

Output
Crystal system ... tetragonal
Spin magnetization ... 0.0001 μB per atom
Final energy ... -0.2879 Ry/atom
Energy of formation ... -0.19 eV/atom

The structure in CIF format:
```
data_LiSc5Cd4
_cell_length_a 3.529
_cell_length_b 3.529
_cell_length_c 17.602
_cell_angle_alpha 90.00
_cell_angle_beta 90.00
_cell_angle_gamma 90.00
_space_group_name_H-M_alt 'P 4/m m m'
_space_group_IT_number 123
_space_group_name_Hall '-P 4 2'
loop_
_atom_site_label
_atom_site_fract_x
_atom_site_fract_y
_atom_site_fract_z
_atom_site_occupancy
Li1 0.000 0.000 0.000 1
Sc1 0.500 0.500 0.096 1
Sc2 0.500 0.500 0.298 1
Sc3 0.500 0.500 0.500 1
Cd1 0.000 0.000 0.196 1
Cd2 0.000 0.000 0.399 1
```

=====

Entry 9:
The following is a PBE calculation of crystalline LiSc3Cd7 at its relaxed geometry, from Alexandria.

Output
Crystal system ... orthorhombic
Spin magnetization ... 0.0000 μB per atom
Final energy ... -0.1946 Ry/atom
Energy of formation ... -0.17 eV/atom

The structure in CIF format:
```
data_LiSc3Cd7
_cell_length_a 3.329
_cell_length_b 19.562
_cell_length_c 14.982
_cell_angle_alpha 90.00
_cell_angle_beta 90.00
_cell_angle_gamma 90.00
_space_group_name_H-M_alt 'C m c m'
_space_group_IT_number 63
_space_group_name_Hall '-C 2c 2'
loop_
_atom_site_label
_atom_site_fract_x
_atom_site_fract_y
_atom_site_fract_z
_atom_site_occupancy
Li1 0.000 0.114 0.250 1
Sc1 0.000 0.062 0.594 1
Sc2 0.000 0.337 0.250 1
Cd1 0.000 0.282 0.653 1
Cd2 0.000 0.312 0.043 1
Cd3 0.000 0.429 0.585 1
Cd4 0.000 0.489 0.250 1
```

=====

Entry 10:
The following is a PBE calculation of crystalline Li3ScCd6 at its relaxed geometry, from Alexandria.

Output
Crystal system ... monoclinic
Spin magnetization ... 0.0000 μB per atom
Final energy ... -0.1458 Ry/atom
Energy of formation ... -0.23 eV/atom

The structure in CIF format:
```
data_Li3ScCd6
_cell_length_a 8.700
_cell_length_b 4.632
_cell_length_c 9.967
_cell_angle_alpha 90.00
_cell_angle_beta 100.24
_cell_angle_gamma 90.00
_space_group_name_H-M_alt 'P 1 21/m 1'
_space_group_IT_number 11
_space_group_name_Hall '-P 2yb'
loop_
_atom_site_label
_atom_site_fract_x
_atom_site_fract_y
_atom_site_fract_z
_atom_site_occupancy
Li1 0.048 0.250 0.397 1
Li2 0.153 0.750 0.188 1
Li3 0.247 0.250 0.976 1
Sc1 0.442 0.250 0.600 1
Cd1 0.027 0.750 0.898 1
Cd2 0.118 0.250 0.688 1
Cd3 0.232 0.750 0.477 1
Cd4 0.332 0.250 0.287 1
Cd5 0.334 0.750 0.792 1
Cd6 0.437 0.750 0.095 1
```

=====

Entry 11:
The following is a PBE calculation of crystalline LiSc3Cd at its relaxed geometry, from Alexandria.

Output
Crystal system ... cubic
Spin magnetization ... 0.3488 μB per atom
Final energy ... -0.2783 Ry/atom
Energy of formation ... 0.58 eV/atom
Relative energy among the computed polymorphs ... 92 meV per atom

The structure in CIF format:
```
data_LiSc3Cd
_cell_length_a 5.387
_cell_length_b 5.387
_cell_length_c 5.387
_cell_angle_alpha 90.00
_cell_angle_beta 90.00
_cell_angle_gamma 90.00
_space_group_name_H-M_alt 'P m -3 m'
_space_group_IT_number 221
_space_group_name_Hall '-P 4 2 3'
loop_
_atom_site_label
_atom_site_fract_x
_atom_site_fract_y
_atom_site_fract_z
_atom_site_occupancy
Li1 0.000 0.000 0.000 1
Sc1 0.000 0.500 0.500 1
Cd1 0.500 0.500 0.500 1
```

=====

Entry 12:
The following is a PBE calculation of crystalline LiSc2Cd8 at its relaxed geometry, from Alexandria.

Output
Crystal system ... orthorhombic
Spin magnetization ... 0.0000 μB per atom
Final energy ... -0.1578 Ry/atom
Energy of formation ... -0.16 eV/atom

The structure in CIF format:
```
data_LiSc2Cd8
_cell_length_a 4.855
_cell_length_b 6.725
_cell_length_c 14.558
_cell_angle_alpha 90.00
_cell_angle_beta 90.00
_cell_angle_gamma 90.00
_space_group_name_H-M_alt 'I m m m'
_space_group_IT_number 71
_space_group_name_Hall '-I 2 2'
loop_
_atom_site_label
_atom_site_fract_x
_atom_site_fract_y
_atom_site_fract_z
_atom_site_occupancy
Li1 0.000 0.000 0.000 1
Sc1 0.000 0.000 0.303 1
Cd1 0.000 0.216 0.500 1
Cd2 0.000 0.277 0.136 1
Cd3 0.000 0.500 0.334 1
```